An optimized crystal structure of ScWNF2. Source: Alexandria via LeMat-Bulk, functional PBE+U.

Output
Space group = P4/mmm, No. 123
Energy relative to the lowest polymorph listed for this composition = 397.2 meV per atom
Spin magnetization = 0.779 μB per atom

abc: 4.161 4.161 4.330
angles: 90.00 90.00 90.00
Atoms (fractional coordinates):
Sc (0.000, 0.000, 0.000)
W (0.500, 0.500, 0.500)
N (0.500, 0.500, 0.000)
F (0.000, 0.500, 0.500)
F (0.500, 0.000, 0.500)